# PBE Nd4OsCl5, relaxed
data_Nd4OsCl5
_cell_length_a 18.304
_cell_length_b 4.118
_cell_length_c 8.758
_cell_angle_alpha 90.00
_cell_angle_beta 106.43
_cell_angle_gamma 90.00
_symmetry_space_group_name_H-M 'C 1 2/m 1'
_symmetry_Int_Tables_number 12
_symmetry_space_group_name_Hall '-C 2y'
loop_
_atom_site_label
_atom_site_type_symbol
_atom_site_fract_x
_atom_site_fract_y
_atom_site_fract_z
Nd1 Nd 0.001 0.000 0.232
Nd2 Nd 0.152 0.500 0.094
Os1 Os 0.000 0.500 0.000
Cl1 Cl 0.000 0.500 0.500
Cl2 Cl 0.168 0.000 0.329
Cl3 Cl 0.171 0.000 0.870
# M_tot (μB/f.u.): 0.1
# Formation energy (no corrections) (eV/atom): -1.572